The following is a DFT calculation (PBEsol) of crystalline SbRu2Pt at its relaxed geometry.

Cell and atoms, written as POSCAR:
```
SbRu2Pt
1.0
3.060 0.000 0.000
0.000 4.474 0.000
0.000 0.000 4.474
Pt Ru Sb
1 2 1
Direct
0.500 0.000 0.000 Pt
0.000 0.000 0.500 Ru
0.000 0.500 0.000 Ru
0.500 0.500 0.500 Sb
```

Summary:
**ΔE_f (raw)**: 0.51 eV/f.u.

The following is a DFT calculation (PBEsol) of crystalline SbRu3Pt at its relaxed geometry.

Cell and atoms, written as POSCAR:
```
SbRu3Pt
1.0
4.677 0.000 0.000
0.000 4.677 0.000
0.000 0.000 4.677
Ru Pt Sb
3 1 1
Direct
0.000 0.500 0.000 Ru
0.000 0.000 0.500 Ru
0.500 0.000 0.000 Ru
0.500 0.500 0.500 Pt
0.000 0.000 0.000 Sb
```

Summary:
**ΔE_f (raw)**: 10.42 eV/f.u.

The following is a DFT calculation (PBEsol) of crystalline SbRu2Pt at its relaxed geometry.

Cell and atoms, written as POSCAR:
```
SbRu2Pt
1.0
3.831 0.000 0.000
0.000 3.985 0.000
0.000 0.000 3.985
Sb Ru Pt
1 2 1
Direct
0.500 0.500 0.500 Sb
0.000 0.000 0.500 Ru
0.000 0.500 0.000 Ru
0.500 0.000 0.000 Pt
```

Summary:
**ΔE_f (raw)**: 0.28 eV/f.u.

The following is a DFT calculation (PBEsol) of crystalline Sc2RuPt at its relaxed geometry.

Cell and atoms, written as POSCAR:
```
Sc2RuPt
1.0
-2.371 -1.765 -1.315
1.744 -2.685 0.459
-2.605 -0.722 5.668
Ru Sc Pt
1 2 1
Direct
0.500 0.500 0.500 Ru
0.000 0.000 0.742 Sc
0.000 0.000 0.258 Sc
0.500 0.500 0.000 Pt
```

Summary:
**Calculated formation energy**: -0.94 eV per atom

The following is a DFT calculation (PBEsol) of crystalline Sc2RuPt at its relaxed geometry.

Cell and atoms, written as POSCAR:
```
Sc2RuPt
1.0
-2.299 0.352 -1.958
-1.798 -3.467 1.488
-2.668 2.957 3.665
Sc Ru Pt
2 1 1
Direct
0.000 0.000 0.945 Sc
0.500 0.500 0.295 Sc
0.500 0.500 0.802 Ru
0.000 0.000 0.457 Pt
```

Summary:
**Calculated formation energy**: -0.57 eV per atom

The following is a DFT calculation (PBEsol) of crystalline Ru2PtSe at its relaxed geometry.

Cell and atoms, written as POSCAR:
```
Ru2PtSe
1.0
2.848 0.000 0.000
0.000 4.535 0.005
0.000 -0.820 4.460
Se Ru Pt
1 2 1
Direct
0.500 0.000 0.000 Se
0.000 0.000 0.500 Ru
0.000 0.500 0.000 Ru
0.500 0.500 0.500 Pt
```

Summary:
**ΔE_f (raw)**: 1.16 eV/f.u.
**Energy above the lowest structure with this stoichiometry**: 0.000 eV per formula unit

> What is the formula in the fourth record?

Sc2RuPt